Below is an optimized crystal structure of Na5B9C, with properties calculated at the PBE-GGA level.

a = 23.814 Å, b = 2.810 Å, c = 10.303 Å
α = 90.00°, β = 105.03°, γ = 90.00°
Space group C2/m (No. 12)
Asymmetric unit:
Na (0.000, 0.000, 0.000) [2 per cell]
Na (0.000, 0.500, 0.500) [2 per cell]
Na (0.099, 0.000, 0.698) [4 per cell]
Na (0.101, 0.500, 0.200) [4 per cell]
Na (0.199, 0.500, 0.898) [4 per cell]
Na (0.200, 0.000, 0.400) [4 per cell]
B (0.016, 0.500, 0.781) [4 per cell]
B (0.024, 0.000, 0.300) [4 per cell]
B (0.078, 0.500, 0.905) [4 per cell]
B (0.112, 0.500, 0.475) [4 per cell]
B (0.118, 0.000, 0.988) [4 per cell]
B (0.176, 0.500, 0.603) [4 per cell]
B (0.180, 0.000, 0.111) [4 per cell]
B (0.217, 0.000, 0.683) [4 per cell]
B (0.221, 0.500, 0.193) [4 per cell]
C (0.082, 0.000, 0.414) [4 per cell]

Calculated values
Size of the total moment: 0.00 μB per formula unit
Energy of formation from the pure elements: 344 kJ/mol of formula units